<i>
VASP calculation (GGA-PBE) on a relaxed BaCeCd4 crystal.

The structure in POSCAR format:
```
BaCeCd4
1.0
-2.9033 4.7745 2.6416
0.3322 0.8181 6.1175
3.2686 4.7072 2.3154
Ba Ce Cd
1 1 4
direct
0.0000 0.0000 0.0000
0.2500 0.2500 0.2500
0.6242 0.6242 0.1275
0.6242 0.1275 0.6242
0.6242 0.6242 0.6242
0.1275 0.6242 0.6242
```



<ii>
VASP calculation (GGA-PBE) on a relaxed BaCeCd4 crystal.

The structure in POSCAR format:
```
BaCeCd4
1.0
5.0881 -0.0227 -0.0296
-2.5259 4.4097 -0.2534
0.0476 0.4895 7.9907
Ba Ce Cd
1 1 4
direct
0.0039 0.4994 0.4981
0.0040 0.4995 0.9981
0.6708 0.8330 0.1977
0.3373 0.1659 0.7986
0.6706 0.8326 0.7986
0.3375 0.1663 0.1977
```



Stability comparison, relative energies in kJ/mol of atoms: <i> 11.3; <ii> 0.0



<i>
VASP calculation (GGA-PBE) on a relaxed BaCdCl2 crystal.

The structure in POSCAR format:
```
BaCdCl2
1.0
-0.0007 3.8457 2.8672
-4.1385 1.7099 1.7204
-0.5514 -3.7924 9.0524
Cl Ba Cd
2 1 1
direct
0.0345 0.0345 0.8981
0.4655 0.4655 0.6019
0.7500 0.7500 0.7500
0.2500 0.2500 0.2500
```



<ii>
VASP calculation (GGA-PBE) on a relaxed BaCdCl2 crystal.

The structure in POSCAR format:
```
BaCdCl2
1.0
2.6666 0.0000 8.6282
-1.3333 2.3093 8.6282
-1.3333 -2.3093 8.6282
Cl Ba Cd
2 1 1
direct
0.8846 0.8846 0.8846
0.1154 0.1154 0.1154
0.0000 0.0000 0.0000
0.5000 0.5000 0.5000
```



<iii>
VASP calculation (GGA-PBE) on a relaxed BaCdCl2 crystal.

The structure in POSCAR format:
```
BaCdCl2
1.0
-1.8256 1.5148 4.9951
-4.8583 -1.8797 1.8553
-0.1480 -3.6818 4.1233
Cl Ba Cd
2 1 1
direct
0.2500 0.2500 0.2500
0.7500 0.7500 0.7500
0.5000 0.5000 0.5000
0.0000 0.0000 0.0000
```



<iv>
VASP calculation (GGA-PBE) on a relaxed BaCdCl2 crystal.

The structure in POSCAR format:
```
BaCdCl2
1.0
-4.9790 3.4049 -2.2062
-0.6794 0.6313 -6.3554
0.9932 -4.7516 4.2056
Cl Ba Cd
2 1 1
direct
0.0000 0.0000 0.0000
0.2500 0.7500 0.5000
0.5000 0.5000 0.0000
0.7500 0.2500 0.5000
```



Stability comparison, relative energies in kJ/mol of atoms: <i> 0.0; <ii> 75.4; <iii> 8.2; <iv> 19.8



<i>
VASP calculation (GGA-PBE) on a relaxed BaCdCl2 crystal.

The structure in POSCAR format:
```
BaCdCl2
1.0
9.0756 0.0000 0.0000
0.0000 9.0756 0.0000
4.5378 4.5378 6.0378
Cl Ba Cd
4 2 2
direct
0.7494 0.1250 0.2500
0.0006 0.6250 0.2500
0.3750 0.2506 0.7500
0.8750 0.9994 0.7500
0.0000 0.0000 0.0000
0.7500 0.2500 0.5000
0.5000 0.5000 0.0000
0.2500 0.7500 0.5000
```



<ii>
VASP calculation (GGA-PBE) on a relaxed BaCdCl2 crystal.

The structure in POSCAR format:
```
BaCdCl2
1.0
4.4263 0.0000 0.0000
0.0000 4.4250 0.0000
0.0000 0.0000 6.3988
Cl Ba Cd
2 1 1
direct
0.0000 0.0000 0.9602
0.5000 0.5000 0.2773
0.0000 0.0000 0.4456
0.5000 0.5000 0.8170
```



<iii>
VASP calculation (GGA-PBE) on a relaxed BaCdCl2 crystal.

The structure in POSCAR format:
```
BaCdCl2
1.0
3.1881 -10.0784 3.8499
6.9941 -8.7172 1.2857
6.4601 -7.1681 5.7834
Cl Ba Cd
2 1 1
direct
0.8763 0.8763 0.8763
0.1237 0.1237 0.1237
0.5000 0.5000 0.5000
0.0000 0.0000 0.0000
```



Stability comparison, relative energies in kJ/mol of atoms: <i> 12.1; <ii> 19.0; <iii> 0.0



<i>
VASP calculation (GGA-PBE) on a relaxed Ba2CdCl crystal.

The structure in POSCAR format:
```
Ba2CdCl
1.0
-3.3214 -4.5820 -1.9866
-3.1544 -3.3186 3.8742
-5.9854 0.3743 0.0900
Cl Ba Cd
1 2 1
direct
0.0000 0.0000 0.0000
0.2500 0.2500 0.2500
0.7500 0.7500 0.7500
0.5000 0.5000 0.5000
```



<ii>
VASP calculation (GGA-PBE) on a relaxed Ba2CdCl crystal.

The structure in POSCAR format:
```
Ba2CdCl
1.0
6.4794 0.0064 -0.0069
0.7422 6.4368 0.0069
-2.5286 -4.4345 3.9905
Cl Ba Cd
1 2 1
direct
0.2500 0.7500 0.5000
0.0336 0.0336 0.0000
0.4664 0.4664 0.0000
0.7500 0.2500 0.5000
```



Stability comparison, relative energies in kJ/mol of atoms: <i> 5.1; <ii> 0.0



<i>
VASP calculation (GGA-PBE) on a relaxed Ba2CdCl crystal.

The structure in POSCAR format:
```
Ba2CdCl
1.0
-2.3133 -0.8988 5.4228
-4.8027 -3.4744 0.6547
0.5136 -5.3356 2.6140
Cl Ba Cd
1 2 1
direct
0.7500 0.7500 0.7500
0.0000 0.0000 0.0000
0.2500 0.2500 0.2500
0.5000 0.5000 0.5000
```



<ii>
VASP calculation (GGA-PBE) on a relaxed Ba2CdCl crystal.

The structure in POSCAR format:
```
Ba2CdCl
1.0
9.0472 -0.0143 0.0329
8.0216 4.1840 0.0329
-1.0495 -0.2564 4.1849
Cl Ba Cd
1 2 1
direct
0.2267 0.2267 0.2263
0.0404 0.0404 0.0408
0.7967 0.7967 0.7965
0.4362 0.4362 0.4363
```



<iii>
VASP calculation (GGA-PBE) on a relaxed Ba2CdCl crystal.

The structure in POSCAR format:
```
Ba2CdCl
1.0
-1.7636 -0.3743 3.5872
0.9846 -3.8914 0.0779
7.7951 2.0534 4.0466
Cl Ba Cd
1 2 1
direct
0.5000 0.5000 0.7500
0.0000 0.0000 0.0057
0.0000 0.0000 0.4943
0.5000 0.5000 0.2500
```



Stability comparison, relative energies in kJ/mol of atoms: <i> 63.9; <ii> 0.0; <iii> 7.4